Entry 1:
# PBE CaNdZn3, relaxed
data_CaNdZn3
_symmetry_space_group_name_H-M 'C m c m'
_symmetry_Int_Tables_number 63
_symmetry_space_group_name_Hall '-C 2c 2'
_cell_length_a 3.803
_cell_length_b 27.556
_cell_length_c 4.526
_cell_angle_alpha 90.00
_cell_angle_beta 90.00
_cell_angle_gamma 90.00
loop_
_atom_site_label
_atom_site_type_symbol
_atom_site_fract_x
_atom_site_fract_y
_atom_site_fract_z
Ca1 Ca 0.000 0.207 0.250
Nd1 Nd 0.000 0.071 0.750
Zn1 Zn 0.000 0.332 0.250
Zn2 Zn 0.000 0.383 0.750
Zn3 Zn 0.000 0.477 0.750
# Fermi-level density of states	1.112	states/eV/atom
# magnetization	0.000	μB/atom
# energy relative to the elements	-0.29	eV per atom
# E	-2.412	eV per atom

=====

Entry 2:
# PBE Li2FeAu, relaxed
data_Li2FeAu
_symmetry_space_group_name_H-M 'R 3 m'
_symmetry_Int_Tables_number 160
_symmetry_space_group_name_Hall 'R 3 -2"'
_cell_length_a 2.8391
_cell_length_b 2.8391
_cell_length_c 27.5185
_cell_angle_alpha 90.00
_cell_angle_beta 90.00
_cell_angle_gamma 120.00
loop_
_atom_site_label
_atom_site_type_symbol
_atom_site_fract_x
_atom_site_fract_y
_atom_site_fract_z
Li1 Li 0.0000 0.0000 0.0000
Li2 Li 0.0000 0.0000 0.2382
Fe1 Fe 0.0000 0.0000 0.4922
Au1 Au 0.0000 0.0000 0.7450
# Fermi-level density of states	0.908	states/eV/atom
# magnetization	0.701	μB/atom
# energy relative to the elements	0.11	eV per atom
# E	-3.780	eV per atom

=====

Entry 3:
# PBE KZrSi2S, relaxed
data_KZrSi2S
_symmetry_space_group_name_H-M 'P 4/m m m'
_symmetry_Int_Tables_number 123
_symmetry_space_group_name_Hall '-P 4 2'
_cell_length_a 5.187
_cell_length_b 5.187
_cell_length_c 4.974
_cell_angle_alpha 90.00
_cell_angle_beta 90.00
_cell_angle_gamma 90.00
loop_
_atom_site_label
_atom_site_type_symbol
_atom_site_fract_x
_atom_site_fract_y
_atom_site_fract_z
K1 K 0.000 0.000 0.000
Zr1 Zr 0.000 0.000 0.500
Si1 Si 0.000 0.500 0.000
S1 S 0.500 0.500 0.500
# Fermi-level density of states	0.898	states/eV/atom
# magnetization	0.000	μB/atom
# E	-2.776	eV per atom

=====

Entry 4:
# PBE MnCoSb, relaxed
data_MnCoSb
_symmetry_space_group_name_H-M 'A m m 2'
_symmetry_Int_Tables_number 38
_cell_length_a 3.606
_cell_length_b 3.563
_cell_length_c 16.342
_cell_angle_alpha 90.00
_cell_angle_beta 90.00
_cell_angle_gamma 90.00
loop_
_symmetry_equiv_pos_as_xyz
'x,y,z'
'-x,-y,z'
'-x,y,z'
'x,-y,z'
'x,y+1/2,z+1/2'
'-x,-y+1/2,z+1/2'
'-x,y+1/2,z+1/2'
'x,-y+1/2,z+1/2'
loop_
_atom_site_label
_atom_site_type_symbol
_atom_site_fract_x
_atom_site_fract_y
_atom_site_fract_z
Mn1 Mn 0.000 0.000 0.000
Mn2 Mn 0.500 0.000 0.494
Co1 Co 0.000 0.000 0.596
Co2 Co 0.500 0.000 0.096
Sb1 Sb 0.000 0.000 0.373
Sb2 Sb 0.500 0.000 0.708
# Fermi-level density of states	0.598	states/eV/atom
# magnetization	0.076	μB/atom
# E	-6.748	eV per atom

=====

Entry 5:
# PBE CeTeCl, relaxed
data_CeTeCl
_symmetry_space_group_name_H-M 'P -6 m 2'
_symmetry_Int_Tables_number 187
_symmetry_space_group_name_Hall 'P -6 2'
_cell_length_a 4.8115
_cell_length_b 4.8115
_cell_length_c 4.3151
_cell_angle_alpha 90.00
_cell_angle_beta 90.00
_cell_angle_gamma 120.00
loop_
_atom_site_label
_atom_site_type_symbol
_atom_site_fract_x
_atom_site_fract_y
_atom_site_fract_z
Ce1 Ce 0.0000 0.0000 0.0000
Te1 Te 0.6667 0.3333 0.5000
Cl1 Cl 0.3333 0.6667 0.0000
# Fermi-level density of states	2.522	states/eV/atom
# magnetization	0.333	μB/atom
# E	-5.236	eV per atom

=====

Entry 6:
# PBE Li2LaMo, relaxed
data_Li2LaMo
_symmetry_space_group_name_H-M 'R -3 m'
_symmetry_Int_Tables_number 166
_symmetry_space_group_name_Hall '-R 3 2"'
_cell_length_a 2.9602
_cell_length_b 2.9602
_cell_length_c 32.4840
_cell_angle_alpha 90.00
_cell_angle_beta 90.00
_cell_angle_gamma 120.00
loop_
_atom_site_label
_atom_site_type_symbol
_atom_site_fract_x
_atom_site_fract_y
_atom_site_fract_z
Li1 Li 0.0000 0.0000 0.2391
La1 La 0.0000 0.0000 0.0000
Mo1 Mo 0.0000 0.0000 0.5000
# Fermi-level density of states	0.968	states/eV/atom
# magnetization	0.044	μB/atom
# energy relative to the elements	0.63	eV per atom
# E	-4.269	eV per atom

=====

Entry 7:
# PBE KLaSb2, relaxed
data_KLaSb2
_symmetry_space_group_name_H-M 'I m m 2'
_symmetry_Int_Tables_number 44
_cell_length_a 4.374
_cell_length_b 4.816
_cell_length_c 14.792
_cell_angle_alpha 90.00
_cell_angle_beta 90.00
_cell_angle_gamma 90.00
loop_
_symmetry_equiv_pos_as_xyz
'x,y,z'
'-x,-y,z'
'-x,y,z'
'x,-y,z'
'x+1/2,y+1/2,z+1/2'
'-x+1/2,-y+1/2,z+1/2'
'-x+1/2,y+1/2,z+1/2'
'x+1/2,-y+1/2,z+1/2'
loop_
_atom_site_label
_atom_site_type_symbol
_atom_site_fract_x
_atom_site_fract_y
_atom_site_fract_z
K1 K 0.000 0.000 0.000
La1 La 0.000 0.500 0.756
Sb1 Sb 0.000 0.000 0.612
Sb2 Sb 0.000 0.500 0.282
# Fermi-level density of states	0.412	states/eV/atom
# magnetization	0.000	μB/atom
# E	-4.147	eV per atom

=====

Entry 8:
# PBE Ac2ErMgAu6, relaxed
data_Ac2ErMgAu6
_symmetry_space_group_name_H-M 'P -1'
_symmetry_Int_Tables_number 2
_cell_length_a 6.004
_cell_length_b 6.096
_cell_length_c 7.803
_cell_angle_alpha 97.58
_cell_angle_beta 104.62
_cell_angle_gamma 106.68
loop_
_symmetry_equiv_pos_as_xyz
'x,y,z'
'-x,-y,-z'
loop_
_atom_site_label
_atom_site_type_symbol
_atom_site_fract_x
_atom_site_fract_y
_atom_site_fract_z
Ac1 Ac 0.003 0.292 0.230
Er1 Er 0.500 0.000 0.500
Mg1 Mg 0.500 0.500 0.000
Au1 Au 0.015 0.213 0.767
Au2 Au 0.386 0.461 0.632
Au3 Au 0.393 0.065 0.130
# Fermi-level density of states	0.524	states/eV/atom
# magnetization	0.000	μB/atom
# energy relative to the elements	-0.65	eV per atom
# E	-4.055	eV per atom

=====

> Which value of Fermi-level density of states does entry 1 give?

1.112 states/eV/atom